(1)
ScRuW2: relaxed, GGA-PBE.

DOS(E_F), states/eV/atom: 0.981
Relative energy among the computed polymorphs, eV/atom: 0.299
E_tot, eV/atom: -10.13
Crystal system: trigonal

Cell: 9.356 9.356 9.356 Å, 17.78 17.78 17.78°
Fractional positions:
Ru  0.503  0.503  0.503
Sc  0.753  0.753  0.753
W  0.998  0.998  0.998
W  0.245  0.245  0.245

***

(2)
KSrBr2: relaxed, GGA-PBE.

DOS(E_F), states/eV/atom: 0.351
Relative energy among the computed polymorphs, eV/atom: 0.181
Energy relative to the elements, uncorrected, eV per atom: -1.37
E_tot, eV/atom: -2.90
Crystal system: tetragonal

Cell: 9.157 9.157 9.157 Å, 151.46 151.46 40.81°
Fractional positions:
Br  0.000  0.000  0.000
Br  0.250  0.750  0.500
K  0.500  0.500  0.000
Sr  0.750  0.250  0.500

***

(3)
ScNi3H: relaxed, GGA-PBE.

DOS(E_F), states/eV/atom: 0.363
Relative energy among the computed polymorphs, eV/atom: 0.220
E_tot, eV/atom: -5.60
Crystal system: orthorhombic

Cell: 11.911 7.011 7.011 Å, 102.58 135.78 44.22°
Fractional positions:
Sc  0.750  0.118  0.618
Sc  0.250  0.882  0.382
Sc  0.750  0.617  0.117
Sc  0.250  0.383  0.883
Ni  0.250  0.528  0.263
Ni  0.250  0.763  0.028
Ni  0.750  0.472  0.737
Ni  0.750  0.237  0.972
Ni  0.250  0.191  0.278
Ni  0.250  0.778  0.691
Ni  0.750  0.809  0.722
Ni  0.750  0.222  0.309
Ni  0.500  0.198  0.802
Ni  0.000  0.302  0.698
Ni  0.500  0.802  0.198
Ni  0.000  0.698  0.302
H  0.250  0.265  0.539
H  0.250  0.039  0.765
H  0.750  0.735  0.461
H  0.750  0.961  0.235